The following is a PBE calculation of a relaxed ScInAg2 crystal, from OQMD.

The structure in POSCAR format:
```
ScInAg2
1.0
-2.249 4.068 1.101
-2.512 -4.000 -0.716
0.622 -1.826 8.015
Ag In Sc
4 2 2
Direct
0.667 0.333 0.089
0.667 0.333 0.411
0.333 0.667 0.589
0.333 0.667 0.911
0.333 0.667 0.250
0.667 0.333 0.750
0.000 0.000 0.000
0.000 0.000 0.500
```

Calculated values
SG   No. 194
DFT total energy   -0.28370 Ry per atom